Material: La2Fe2Re
Method: DFT, GGA-PBE
State: optimized geometry

```
La2Fe2Re
1.0
6.3754 0.0000 0.0000
0.0000 6.3754 0.0000
0.0000 0.0000 4.8553
Fe Re La
4 2 4
Direct
0.6371 0.1371 0.0000
0.1371 0.3629 0.0000
0.3629 0.8629 0.0000
0.8629 0.6371 0.0000
0.0000 0.0000 0.0000
0.5000 0.5000 0.0000
0.1818 0.6818 0.5000
0.6818 0.8182 0.5000
0.8182 0.3182 0.5000
0.3182 0.1818 0.5000
```

Crystal system = tetragonal
E_tot = -7.51 eV/atom
Formation energy from the elements = 333 meV per atom